Density functional theory data (PBE) for an optimized crystal structure of NbCrRu2N.

a = 4.6552 Å, b = 3.4776 Å, c = 4.6552 Å
α = 90.00°, β = 90.00°, γ = 90.00°
Last column: nearest neighbours and their distance in Å.
Fractional positions:
Ru1 0.5000 0.0000 0.0000  2 Cr 2.33
Cr1 0.0000 0.0000 0.0000  2 N 1.74
N1 0.0000 0.5000 0.0000  2 Cr 1.74
Ru2 0.0000 0.0000 0.5000  2 Cr 2.33
Nb1 0.5000 0.5000 0.5000  8 Ru 2.91

## Properties
- Formation energy (no corrections): 4.77 eV/f.u.
- Total magnetization: 0.0 μB per cell
- Calculated total energy: -41.80 eV/cell